Material: Cs2RbTe2
Method: DFT, PBE
State: optimized geometry

Summary:
Energy relative to the lowest polymorph listed for this composition = 306 meV per atom
Crystal system = tetragonal
E_tot = -2.43 eV per atom
Formation energy without anion corrections = -3.2 eV/f.u.
Fermi-level density of states = 1.3724 states/eV/atom

a = 7.8648 Å, b = 7.8648 Å, c = 7.8648 Å
α = 127.94°, β = 127.94°, γ = 76.72°
Fractional positions:
Cs1 0.3467 0.3467 0.0000
Te1 0.7500 0.2500 0.5000
Rb1 0.0000 0.0000 0.0000
Te2 0.2500 0.7500 0.5000
Cs2 0.6533 0.6533 0.0000